Material: MgPtW
Method: DFT, PBE
State: optimized geometry

Summary:
The value obtained for the density is 13.33 g cm⁻³. The formation energy comes out at 0.0771 eV per atom. As for the total magnetization: 0.00 μB/f.u. The calculation puts the total energy at -40.71 eV per cell.

Cell and atoms, written as extended XYZ:
```
6
Lattice="3.9179 -2.2620 0.0000 0.0000 4.5240 0.0000 0.0000 0.0000 5.6681" Properties=species:S:1:pos:R:3 pbc="T T T"
Mg 0.0000 0.0000 0.0000
Mg 0.0000 0.0000 2.8341
Pt 2.6119 0.0000 1.4170
Pt 1.3060 2.2620 4.2511
W 1.3060 2.2620 1.4170
W 2.6119 0.0000 4.2511
```